No. 1
This record from the Alexandria database describes a geometry-optimized PtCl structure. The functional is PBE-GGA.

VASP energy = -6.5 eV for the cell shown
ΔE_f (raw) = 1.4 eV per formula unit
DOS(E_F) = 1.317 states/eV per atom
M_tot = 0.000 μB per atom

a b c (Å): 4.0032 4.0032 4.0032
angles (deg): 60.00 60.00 60.00
Element x y z (fractional)
Pt: 0.0000 0.0000 0.0000
Cl: 0.7500 0.7500 0.7500

---

No. 2
This record from the Alexandria database describes a geometry-optimized PtCl structure. The functional is PBE-GGA.

VASP energy = -23.2 eV for the cell shown
ΔE_f (raw) = 0.2 eV per formula unit
DOS(E_F) = 0.641 states/eV per atom
M_tot = 0.115 μB per atom

a b c (Å): 5.9859 5.9859 7.2864
angles (deg): 127.37 127.37 35.17
Element x y z (fractional)
Pt: 0.0000 0.0000 0.0000
Pt: 0.1622 0.1622 0.8425
Pt: 0.3242 0.3242 0.6852
Cl: 0.4994 0.4994 0.5824
Cl: 0.6612 0.6612 0.3403
Cl: 0.8246 0.8246 0.1026

---

No. 3
This record from the Alexandria database describes a geometry-optimized PtCl structure. The functional is PBE-GGA.

VASP energy = -23.1 eV for the cell shown
ΔE_f (raw) = 0.2 eV per formula unit
DOS(E_F) = 0.581 states/eV per atom
M_tot = 0.157 μB per atom

a b c (Å): 5.3412 8.0866 8.0866
angles (deg): 25.88 90.00 90.00
Element x y z (fractional)
Pt: 0.0000 0.0000 0.0000
Pt: 0.0000 0.3885 0.3885
Pt: 0.5000 0.3740 0.3740
Cl: 0.0000 0.5998 0.5998
Cl: 0.5000 0.7741 0.7741
Cl: 0.5000 0.9844 0.9844

---

Q: The highest ΔE_f (raw) belongs to which entry?
A: number 1